Tl5Cl | GGA-PBEsol | optimized geometry

Electronic total energy (eV per atom): -2.747
N(E_F) (states/eV/f.u.): 2.3
Space-group type: P4/mmm (123)
Crystal system: tetragonal

Cell lengths 3.7968, 3.7968, 11.6797 Å; angles 90.00, 90.00, 90.00 degrees
With the nearest neighbours (Å) after each atom.
Fractional positions:
1 Cl 0.5000 0.5000 0.0000  8 Tl 3.23
2 Tl 0.0000 0.0000 0.8463  4 Cl 3.23, 5 Tl 3.46-3.59
3 Tl 0.0000 0.0000 0.1537  4 Cl 3.23, 5 Tl 3.46-3.59
4 Tl 0.5000 0.5000 0.6598  8 Tl 3.27-3.46
5 Tl 0.5000 0.5000 0.3402  8 Tl 3.27-3.46
6 Tl 0.0000 0.0000 0.5000  8 Tl 3.27